! PBE PmTc5P3, relaxed; values from VASP
! E_form: -0.470 eV/atom
&SYSTEM
  ibrav = 0, nat = 18, ntyp = 3
/
ATOMIC_SPECIES
Pm 145.00 Pm.upf
Tc 98.00 Tc.upf
P 30.97 P.upf
CELL_PARAMETERS angstrom
4.009 0.000 0.000
-2.004 6.359 0.000
0.000 0.000 11.507
ATOMIC_POSITIONS crystal
Pm 0.174 0.348 0.250
Pm 0.826 0.652 0.750
Tc 0.541 0.083 0.854
Tc 0.807 0.614 0.062
Tc 0.459 0.917 0.146
Tc 0.193 0.386 0.938
Tc 0.807 0.614 0.438
Tc 0.000 0.000 0.000
Tc 0.193 0.386 0.562
Tc 0.459 0.917 0.354
Tc 0.541 0.083 0.646
Tc 0.000 0.000 0.500
P 0.627 0.253 0.450
P 0.874 0.748 0.250
P 0.126 0.252 0.750
P 0.627 0.253 0.050
P 0.373 0.747 0.950
P 0.373 0.747 0.550

! PBE VPtC3, relaxed; values from VASP
! E_form: 2.433 eV/atom
! energy above the most stable polymorph in this dataset: 194 kJ/mol of formula units
&SYSTEM
  ibrav = 0, nat = 5, ntyp = 3
/
ATOMIC_SPECIES
C 12.01 C.upf
V 50.94 V.upf
Pt 195.08 Pt.upf
CELL_PARAMETERS angstrom
-3.521 -1.420 -1.223
1.698 -1.316 -3.361
0.793 -3.488 1.766
ATOMIC_POSITIONS crystal
C 0.000 0.000 0.500
C 0.500 0.000 0.000
C 0.000 0.500 0.000
V 0.500 0.500 0.500
Pt 0.000 0.000 0.000

! PBE Pm8HgTe4Se3, relaxed; values from VASP
! raw formation energy: -1.469 eV per atom
&SYSTEM
  ibrav = 0, nat = 16, ntyp = 4
/
ATOMIC_SPECIES
Pm 145.00 Pm.upf
Se 78.96 Se.upf
Te 127.60 Te.upf
Hg 200.59 Hg.upf
CELL_PARAMETERS angstrom
-0.774 -6.318 5.885
-4.718 -4.739 -5.707
7.859 2.857 -2.285
ATOMIC_POSITIONS crystal
Pm 0.740 0.720 0.479
Pm 0.246 0.729 0.491
Pm 0.261 0.269 0.015
Pm 0.754 0.271 0.509
Pm 0.739 0.731 0.985
Pm 0.260 0.280 0.521
Pm 0.246 0.731 0.985
Pm 0.754 0.269 0.015
Se 0.500 0.500 0.500
Se 0.500 0.500 0.000
Se 0.000 0.500 0.500
Te 0.000 0.000 0.500
Te 0.000 0.000 0.000
Te 0.500 0.000 0.000
Te 0.500 0.000 0.500
Hg 0.000 0.500 0.000

For the records above, the corresponding Fermi-level density of states values read 0.778, 0.920, 0.570 states/eV per atom.
For the records above, the corresponding calculated volume values read 16.295, 12.692, 29.394 A^3/atom.